(P)
Entry from Alexandria via LeMat-Bulk: crystalline Ca2MoRh at its relaxed geometry (PBE).

## Properties
ρ (kg/m³): 5679

Lattice parameters (Å, degrees): 6.8847 6.8847 6.8847 90.00 90.00 90.00
Last column: nearest neighbours and their distance in Å.
Space group F-43m (No. 216)
Asymmetric unit:
Ca: 0.0000 0.0000 0.0000 (multiplicity 4)  4 Mo 2.98, 4 Ca 2.98
Ca: 0.2500 0.2500 0.2500 (multiplicity 4)  4 Ca 2.98, 4 Rh 2.98
Mo: 0.2500 0.2500 0.7500 (multiplicity 4)  4 Ca 2.98, 4 Rh 2.98
Rh: 0.0000 0.0000 0.5000 (multiplicity 4)  4 Mo 2.98, 4 Ca 2.98

=====

(Q)
Entry from Alexandria via LeMat-Bulk: crystalline Ca2MoRh at its relaxed geometry (PBE).

## Properties
ρ (kg/m³): 5680

Lattice parameters (Å, degrees): 2.9967 4.7303 5.7543 90.00 90.00 90.00
Last column: nearest neighbours and their distance in Å.
Space group Pmmm (No. 47)
Asymmetric unit:
Ca: 0.0000 0.0000 0.2439 (multiplicity 2)  4 Ca 2.81-3.00, 4 Rh 3.13
Mo: 0.5000 0.5000 0.5000 (multiplicity 1)  2 Rh 2.88, 2 Mo 3.00, 8 Ca 3.16
Rh: 0.5000 0.5000 0.0000 (multiplicity 1)  2 Mo 2.88, 2 Rh 3.00, 8 Ca 3.13

=====

(R)
Entry from Alexandria via LeMat-Bulk: crystalline Ca2MoRh at its relaxed geometry (PBE).

## Properties
ρ (kg/m³): 4764

Lattice parameters (Å, degrees): 3.1836 4.3176 7.2466 90.00 102.47 90.00
Last column: nearest neighbours and their distance in Å.
Space group Pm (No. 6)
Asymmetric unit:
Ca: 0.0000 0.0000 0.0000 (multiplicity 1)  2 Rh 2.97-3.31, 4 Mo 3.08-3.28, 2 Ca 3.18
Ca: 0.2786 0.5000 0.6192 (multiplicity 1)  2 Mo 2.98-3.28, 4 Rh 3.05-3.30, 2 Ca 3.18
Mo: 0.6835 0.5000 0.2400 (multiplicity 1)  2 Rh 2.44
Rh: 0.5819 0.0000 0.3807 (multiplicity 1)  2 Mo 2.44

=====

(S)
Entry from Alexandria via LeMat-Bulk: crystalline Ca2MoRh at its relaxed geometry (PBE).

## Properties
ρ (kg/m³): 5104

Lattice parameters (Å, degrees): 8.1500 8.1500 5.4668 90.00 90.00 90.00
Last column: nearest neighbours and their distance in Å.
Space group I-42d (No. 122)
Asymmetric unit:
Ca: 0.2049 0.2500 0.1250 (multiplicity 8)  2 Rh 2.72, 2 Ca 2.83
Mo: 0.0000 0.0000 0.5000 (multiplicity 4)  2 Rh 2.73
Rh: 0.0000 0.0000 0.0000 (multiplicity 4)  4 Ca 2.72, 2 Mo 2.73

=====

Energy ordering: (R) at the bottom, the next structure 0.208 eV/atom above.